Entry 1:
A plane-wave DFT calculation with PBE-GGA was carried out for crystalline HoLuSc2In2 at its relaxed geometry.

Structure (POSCAR):
```
HoLuSc2In2
1.0
5.152 0.000 0.000
-2.576 4.462 0.000
0.000 0.000 6.517
Ho Lu Sc In
1 1 2 2
Cartesian
0.000 0.000 0.000 Ho
0.000 0.000 3.258 Lu
0.000 2.975 4.885 Sc
2.576 1.487 1.632 Sc
0.000 2.975 1.631 In
2.576 1.487 4.886 In
```

* SG: P-3m1
* crystal system: trigonal
* DFT total energy: -29.43 eV/cell


Entry 2:
A plane-wave DFT calculation with PBE-GGA was carried out for crystalline BaCu2MoSe4 at its relaxed geometry.

Structure (POSCAR):
```
BaCu2MoSe4
1.0
10.983 0.000 0.000
0.000 5.672 3.352
0.000 -5.672 3.352
Ba Cu Mo Se
2 4 2 8
Cartesian
0.000 0.000 0.000 Ba
5.492 0.000 0.000 Ba
1.376 2.513 2.666 Cu
4.116 2.513 2.666 Cu
6.868 -2.513 2.666 Cu
9.608 -2.513 2.666 Cu
2.746 -1.629 2.655 Mo
8.238 1.629 2.655 Mo
0.855 -2.845 1.683 Se
2.746 0.657 1.810 Se
2.746 -1.307 5.075 Se
4.637 -2.845 1.683 Se
6.347 2.845 1.683 Se
8.238 -0.657 1.810 Se
8.238 1.307 5.075 Se
10.129 2.845 1.683 Se
```

* SG: Ama2
* crystal system: orthorhombic
* DFT total energy: -77.98 eV/cell


Entry 3:
A plane-wave DFT calculation with PBE-GGA was carried out for crystalline CdMo2As at its relaxed geometry.

Structure (POSCAR):
```
CdMo2As
1.0
0.000 3.249 3.249
3.249 0.000 3.249
3.249 3.249 0.000
Cd Mo As
1 2 1
Cartesian
0.000 0.000 0.000 Cd
1.624 1.624 1.624 Mo
3.249 3.249 3.249 Mo
4.873 4.873 4.873 As
```

* SG: F-43m
* crystal system: cubic
* DFT total energy: -24.97 eV/cell


Entry 4:
A plane-wave DFT calculation with PBE-GGA was carried out for crystalline B2Ir at its relaxed geometry.

Structure (POSCAR):
```
B2Ir
1.0
3.103 0.000 0.000
-1.552 2.688 0.000
0.000 0.000 3.250
B Ir
2 1
Cartesian
0.000 1.792 0.000 B
1.552 0.896 0.000 B
0.000 0.000 1.625 Ir
```

* SG: P6/mmm
* crystal system: hexagonal
* DFT total energy: -20.71 eV/cell